# PmSc2H7 PBE optimized geometry
data_PmSc2H7
_chemical_formula_sum 'Pm1 Sc2 H7'
_cell_length_a 8.0058
_cell_length_b 8.0058
_cell_length_c 8.0058
_cell_angle_alpha 154.97
_cell_angle_beta 154.97
_cell_angle_gamma 35.70
_symmetry_space_group_name_H-M 'P 1'
_symmetry_Int_Tables_number 1
loop_
_symmetry_equiv_pos_as_xyz
'x,y,z'
loop_
_atom_site_label
_atom_site_type_symbol
_atom_site_fract_x
_atom_site_fract_y
_atom_site_fract_z
Pm1 Pm 0.0000 0.0000 0.0000
Sc1 Sc 0.3265 0.3265 0.0000
Sc2 Sc 0.6735 0.6735 0.0000
H1 H 0.1008 0.6008 0.5000
H2 H 0.2500 0.7500 0.5000
H3 H 0.3992 0.8992 0.5000
H4 H 0.5000 0.5000 0.0000
H5 H 0.6008 0.1008 0.5000
H6 H 0.7500 0.2500 0.5000
H7 H 0.8992 0.3992 0.5000
# Uncorrected energy   -4.7045 eV/atom
# Magnetization   0.0000 μB/atom
# SG   I4/mmm